# 1
This record from the Alexandria database describes Nd2ThRh4 after structural relaxation. The functional is PBE.

Cell: 5.244 5.244 6.812 Å, 112.64 112.64 90.00°
Fractional coordinates of all 7 atoms:
Nd 0.685 0.685 0.371
Nd 0.315 0.315 0.629
Th 0.000 0.000 0.000
Rh 0.376 0.876 0.751
Rh 0.876 0.376 0.751
Rh 0.624 0.124 0.249
Rh 0.124 0.624 0.249

Calculated values
The total energy is -7.15 eV per atom.

# 2
This record from the Alexandria database describes Nd2ThRh after structural relaxation. The functional is PBE.

Cell: 3.597 3.597 8.598 Å, 90.00 90.00 90.00°
Fractional coordinates of all 4 atoms:
Rh 0.500 0.500 0.000
Nd 0.000 0.000 0.802
Nd 0.000 0.000 0.198
Th 0.500 0.500 0.500

Calculated values
The value obtained for the energy above the most stable polymorph in this dataset is 0.188 eV per atom.

# 3
This record from the Alexandria database describes NdThRh2 after structural relaxation. The functional is PBE.

Cell: 5.815 5.816 11.536 Å, 90.00 90.00 90.00°
Fractional coordinates of all 16 atoms:
Nd 0.251 0.000 0.375
Nd 0.749 0.000 0.625
Nd 0.251 0.500 0.125
Nd 0.749 0.500 0.875
Th 0.249 0.500 0.625
Th 0.751 0.500 0.375
Th 0.249 0.000 0.875
Th 0.751 0.000 0.125
Rh 0.749 0.000 0.884
Rh 0.251 0.000 0.116
Rh 0.749 0.500 0.616
Rh 0.251 0.500 0.384
Rh 0.751 0.500 0.133
Rh 0.249 0.500 0.867
Rh 0.751 0.000 0.367
Rh 0.249 0.000 0.633

Calculated values
The value obtained for the energy above the most stable polymorph in this dataset is 0.096 eV per atom.

# 4
This record from the Alexandria database describes Nd2Th3Rh2 after structural relaxation. The functional is PBE.

Cell: 3.874 6.324 9.136 Å, 69.46 77.76 72.16°
Fractional coordinates of all 7 atoms:
Nd 0.160 0.475 0.204
Nd 0.840 0.525 0.796
Th 0.500 0.000 0.000
Th 0.379 0.805 0.437
Th 0.621 0.195 0.563
Rh 0.132 0.948 0.787
Rh 0.868 0.052 0.213

Calculated values
The total energy is -7.16 eV per atom.

# 5
This record from the Alexandria database describes Nd2ThRh3 after structural relaxation. The functional is PBE.

Cell: 5.810 8.105 7.153 Å, 106.43 113.96 90.00°
Fractional coordinates of all 12 atoms:
Nd 0.669 0.583 0.334
Nd 0.665 0.083 0.334
Nd 0.335 0.917 0.666
Nd 0.331 0.417 0.666
Th 0.996 0.750 0.000
Th 0.004 0.250 0.000
Rh 0.504 0.250 0.000
Rh 0.496 0.750 0.000
Rh 0.156 0.079 0.316
Rh 0.840 0.421 0.684
Rh 0.160 0.579 0.316
Rh 0.844 0.921 0.684

Calculated values
The total energy is -7.17 eV per atom.

# 6
This record from the Alexandria database describes NdTh3Rh4 after structural relaxation. The functional is PBE.

Cell: 7.099 7.111 8.203 Å, 90.00 90.00 109.29°
Fractional coordinates of all 16 atoms:
Rh 0.006 0.253 0.617
Rh 0.498 0.262 0.871
Rh 0.506 0.253 0.383
Rh 0.998 0.262 0.129
Rh 0.002 0.738 0.871
Rh 0.494 0.747 0.617
Rh 0.502 0.738 0.129
Rh 0.994 0.747 0.383
Nd 0.750 0.000 0.873
Nd 0.250 0.000 0.127
Th 0.750 0.000 0.372
Th 0.250 0.000 0.628
Th 0.750 0.500 0.628
Th 0.750 0.500 0.127
Th 0.250 0.500 0.372
Th 0.250 0.500 0.873

Calculated values
The total energy is -7.88 eV per atom.

# 7
This record from the Alexandria database describes NdThRh2 after structural relaxation. The functional is PBE.

Cell: 5.019 5.019 5.019 Å, 60.00 60.00 60.00°
Fractional coordinates of all 4 atoms:
Rh 0.250 0.250 0.250
Rh 0.750 0.750 0.750
Nd 0.500 0.500 0.500
Th 0.000 0.000 0.000

Calculated values
The value obtained for the energy above the most stable polymorph in this dataset is 0.131 eV per atom.

# 8
This record from the Alexandria database describes NdThRh2 after structural relaxation. The functional is PBE.

Cell: 4.079 4.079 7.174 Å, 73.48 73.48 60.00°
Fractional coordinates of all 4 atoms:
Rh 0.745 0.745 0.764
Rh 0.255 0.255 0.236
Nd 0.500 0.500 0.500
Th 0.000 0.000 0.000

Calculated values
The value obtained for the energy above the most stable polymorph in this dataset is 0.089 eV per atom.

# 9
This record from the Alexandria database describes Nd2ThRh after structural relaxation. The functional is PBE.

Cell: 6.556 7.193 10.097 Å, 90.00 90.00 90.00°
Fractional coordinates of all 16 atoms:
Nd 0.166 0.679 0.065
Nd 0.334 0.179 0.435
Nd 0.834 0.321 0.565
Nd 0.666 0.821 0.935
Nd 0.834 0.321 0.935
Nd 0.666 0.821 0.565
Nd 0.166 0.679 0.435
Nd 0.334 0.179 0.065
Th 0.665 0.540 0.250
Th 0.835 0.040 0.250
Th 0.335 0.460 0.750
Th 0.165 0.960 0.750
Rh 0.039 0.368 0.250
Rh 0.461 0.868 0.250
Rh 0.961 0.632 0.750
Rh 0.539 0.132 0.750

Calculated values
The value obtained for the energy above the most stable polymorph in this dataset is 0.000 eV per atom.

# 10
This record from the Alexandria database describes NdTh2Rh after structural relaxation. The functional is PBE.

Cell: 3.926 3.926 9.526 Å, 78.11 78.11 60.00°
Fractional coordinates of all 4 atoms:
Nd 0.499 0.499 0.502
Th 0.063 0.063 0.812
Th 0.272 0.272 0.185
Rh 0.667 0.667 0.000

Calculated values
The value obtained for the energy above the most stable polymorph in this dataset is 0.129 eV per atom.

# 11
This record from the Alexandria database describes NdThRh2 after structural relaxation. The functional is PBE.

Cell: 3.877 4.341 5.812 Å, 90.00 109.69 90.00°
Fractional coordinates of all 4 atoms:
Nd 0.720 0.000 0.980
Th 0.447 0.500 0.432
Rh 0.174 0.500 0.888
Rh 0.989 0.000 0.518

Calculated values
The value obtained for the energy above the most stable polymorph in this dataset is 0.000 eV per atom.

# 12
This record from the Alexandria database describes NdThRh4 after structural relaxation. The functional is PBE.

Cell: 5.420 5.420 5.420 Å, 60.00 60.00 60.00°
Fractional coordinates of all 6 atoms:
Rh 0.625 0.625 0.125
Rh 0.625 0.125 0.625
Rh 0.625 0.625 0.625
Rh 0.125 0.625 0.625
Nd 0.000 0.000 0.000
Th 0.250 0.250 0.250

Calculated values
The total energy is -7.64 eV per atom.

Number 1: total moment 0.000 μB per atom. Number 2: total moment 0.000 μB per atom. Number 3: total moment 0.000 μB per atom. Number 4: total moment 0.000 μB per atom. Number 5: total moment 0.000 μB per atom. Number 6: total moment 0.000 μB per atom. Number 7: total moment 0.000 μB per atom. Number 8: total moment 0.000 μB per atom. Number 9: total moment 0.000 μB per atom. Number 10: total moment 0.000 μB per atom. Number 11: total moment 0.000 μB per atom. Number 12: total moment 0.000 μB per atom.